Record 1
The following is a PBE calculation of crystalline Tb2NdSmEr4 at its relaxed geometry, from Alexandria.

abc: 9.486 9.486 11.760
angles: 128.31 128.31 88.57
Fractional coordinates of all 16 atoms:
Er 0.748 0.750 0.001
Er 0.747 0.250 0.999
Er 0.253 0.750 0.001
Er 0.250 0.753 0.501
Er 0.252 0.250 0.999
Er 0.750 0.752 0.499
Er 0.250 0.248 0.501
Er 0.750 0.247 0.499
Sm 0.000 0.000 0.000
Sm 0.500 0.500 0.500
Nd 0.000 0.500 0.000
Nd 0.000 0.500 0.500
Tb 0.500 0.500 0.000
Tb 0.000 0.000 0.500
Tb 0.500 0.000 0.000
Tb 0.500 0.000 0.500

Record 2
The following is a PBE calculation of crystalline TbNd2SmEr6 at its relaxed geometry, from Alexandria.

abc: 9.689 8.743 8.743
angles: 118.03 94.66 94.66
Fractional coordinates of all 20 atoms:
Nd 0.957 0.705 0.807
Nd 0.543 0.193 0.295
Nd 0.043 0.295 0.193
Nd 0.457 0.807 0.705
Er 0.881 0.294 0.507
Er 0.686 0.023 0.574
Er 0.814 0.426 0.977
Er 0.314 0.977 0.426
Er 0.186 0.574 0.023
Er 0.119 0.706 0.493
Er 0.057 0.123 0.740
Er 0.443 0.260 0.877
Er 0.619 0.493 0.706
Er 0.381 0.507 0.294
Er 0.943 0.877 0.260
Er 0.557 0.740 0.123
Tb 0.250 0.407 0.593
Tb 0.750 0.593 0.407
Sm 0.250 0.982 0.018
Sm 0.750 0.018 0.982

Record 3
The following is a PBE calculation of crystalline Tb2NdSm4Er at its relaxed geometry, from Alexandria.

abc: 3.609 6.229 11.946
angles: 79.84 90.00 90.00
Fractional coordinates of all 8 atoms:
Sm 0.000 0.249 0.253
Sm 0.500 0.250 0.748
Sm 0.000 0.751 0.747
Sm 0.500 0.750 0.252
Nd 0.500 0.500 0.000
Er 0.000 0.500 0.500
Tb 0.500 0.000 0.500
Tb 0.000 0.000 0.000

Record 4
The following is a PBE calculation of crystalline Tb4Nd2SmEr at its relaxed geometry, from Alexandria.

abc: 5.088 5.075 11.347
angles: 63.38 90.00 90.00
Fractional coordinates of all 8 atoms:
Tb 0.500 0.748 0.252
Tb 0.000 0.752 0.748
Tb 0.000 0.248 0.252
Tb 0.500 0.252 0.748
Nd 0.000 0.000 0.000
Nd 0.500 0.000 0.500
Sm 0.500 0.500 0.000
Er 0.000 0.500 0.500

Record 5
The following is a PBE calculation of crystalline Tb6NdSmEr2 at its relaxed geometry, from Alexandria.

abc: 9.587 8.796 8.796
angles: 117.35 93.79 93.79
Fractional coordinates of all 20 atoms:
Sm 0.750 0.028 0.972
Sm 0.250 0.972 0.028
Tb 0.319 0.978 0.433
Tb 0.881 0.294 0.510
Tb 0.556 0.753 0.117
Tb 0.119 0.706 0.490
Tb 0.819 0.433 0.978
Tb 0.444 0.247 0.883
Tb 0.619 0.490 0.706
Tb 0.381 0.510 0.294
Tb 0.056 0.117 0.753
Tb 0.181 0.567 0.022
Tb 0.944 0.883 0.247
Tb 0.681 0.022 0.567
Er 0.046 0.298 0.196
Er 0.546 0.196 0.298
Er 0.454 0.804 0.702
Er 0.954 0.702 0.804
Nd 0.750 0.593 0.407
Nd 0.250 0.407 0.593

Record 6
The following is a PBE calculation of crystalline Tb2Nd2Sm4Er at its relaxed geometry, from Alexandria.

abc: 3.645 9.618 9.685
angles: 115.14 90.00 100.92
Fractional coordinates of all 9 atoms:
Nd 0.335 0.669 0.002
Nd 0.665 0.331 0.998
Sm 0.185 0.371 0.334
Sm 0.518 0.037 0.333
Sm 0.815 0.629 0.666
Sm 0.482 0.963 0.667
Tb 0.852 0.705 0.334
Tb 0.148 0.295 0.666
Er 0.000 0.000 0.000

It is found that the formation energy values, taken in the order of the records, are 0.43, 0.12, 0.02, 0.02, 0.12, 0.01 eV per atom.